# YMg6CrO8

YMg6CrO8 after structural relaxation (PBE+U, Alexandria).

Summary:
Electronic total energy (eV/atom): -6.426
Polymorph energy (0 for the lowest one) (eV/f.u.): 0.00
Calculated density (g cm⁻³): 3.9

a = 4.4099 Å, b = 4.4099 Å, c = 9.0334 Å
α = 90.00°, β = 90.00°, γ = 90.00°
Closest atoms and distances in Å follow each position.
Space group P4/mmm (No. 123)
Symmetry-distinct sites (fractional):
Y 0.0000 0.0000 0.0000 (multiplicity 1)  6 O 2.20-2.35
Mg 0.0000 0.0000 0.5000 (multiplicity 1)  6 O 2.16-2.20
Mg 0.0000 0.5000 0.2676 (multiplicity 4)  5 O 2.10-2.21
Mg 0.5000 0.5000 0.5000 (multiplicity 1)  6 O 2.04-2.20
Cr 0.5000 0.5000 0.0000 (multiplicity 1)  4 O 2.20
O 0.0000 0.0000 0.2605 (multiplicity 2)  5 Mg 2.16-2.21, 1 Y 2.35
O 0.0000 0.5000 0.0000 (multiplicity 2)  2 Cr 2.20, 2 Y 2.20, 2 Mg 2.42
O 0.0000 0.5000 0.5000 (multiplicity 2)  6 Mg 2.10-2.20
O 0.5000 0.5000 0.2738 (multiplicity 2)  5 Mg 2.04-2.21